TeIr2Cl: PBEsol geometry, SCAN.

Structure (POSCAR):
```
TeIr2Cl
1.0
1.529 0.883 9.290
-1.529 0.883 9.290
0.000 -1.765 9.290
Te Ir Cl
1 2 1
Cartesian
0.000 0.000 0.000 Te
0.000 0.000 13.388 Ir
0.000 0.000 20.779 Ir
0.000 0.000 5.959 Cl
```

Mass density   12.1 g/cm3
Relative energy among the computed polymorphs   0 meV/atom
Formation energy without anion corrections   0.449 eV per atom
VASP energy   -46.41 eV per atom


Fe2Se2Br: PBEsol geometry, SCAN.

Structure (POSCAR):
```
Fe2Se2Br
1.0
-2.089 2.089 5.264
2.089 -2.089 5.264
2.089 2.089 -5.264
Fe Se Br
2 2 1
Cartesian
0.000 0.000 1.358 Fe
0.000 0.000 9.169 Fe
2.089 0.000 2.632 Se
0.000 2.089 2.632 Se
0.000 0.000 5.264 Br
```

Mass density   6.3 g/cm3
Formation energy without anion corrections   0.165 eV per atom
VASP energy   -19.01 eV per atom


BaTi8O16: PBEsol geometry, SCAN.

Structure (POSCAR):
```
BaTi8O16
1.0
10.023 -2.946 0.000
10.023 2.946 0.000
-9.936 0.000 10.158
Ba Ti O
2 16 32
Cartesian
2.571 2.205 7.619 Ba
7.539 -2.205 2.540 Ba
4.075 2.213 4.177 Ti
0.909 0.743 4.067 Ti
4.292 0.732 1.061 Ti
11.003 2.213 0.902 Ti
-0.943 0.744 9.393 Ti
-4.059 -0.743 9.146 Ti
-0.676 -0.732 6.140 Ti
6.085 0.744 5.844 Ti
4.025 -0.744 4.314 Ti
10.786 0.732 4.018 Ti
14.170 0.743 1.012 Ti
11.053 -0.744 0.765 Ti
-0.892 -2.213 9.256 Ti
5.818 -0.732 9.097 Ti
9.202 -0.743 6.091 Ti
6.035 -2.213 5.981 Ti
0.781 0.766 2.125 O
-5.450 0.707 9.204 O
-2.045 0.705 5.960 O
9.040 2.243 0.512 O
6.039 2.243 4.567 O
-2.847 0.771 9.224 O
0.598 0.767 6.042 O
4.210 0.703 2.969 O
-4.186 -0.766 7.204 O
-0.482 -0.707 4.125 O
2.923 -0.705 0.881 O
4.082 0.763 5.565 O
1.061 0.763 9.672 O
2.121 -0.771 4.145 O
5.566 -0.767 0.963 O
-0.758 -0.703 8.048 O
10.869 0.703 2.110 O
4.545 0.767 9.195 O
7.990 0.771 6.013 O
9.049 -0.763 0.486 O
6.029 -0.763 4.593 O
7.188 0.705 9.277 O
10.592 0.707 6.033 O
14.297 0.766 2.954 O
5.901 -0.703 7.189 O
9.513 -0.767 4.116 O
12.958 -0.771 0.934 O
4.072 -2.243 5.591 O
1.071 -2.243 9.646 O
12.156 -0.705 4.198 O
15.560 -0.707 0.954 O
9.329 -0.766 8.033 O
```

Mass density   4.3 g/cm3
Formation energy without anion corrections   -3.338 eV per atom
VASP energy   -14.04 eV per atom